Record 1
# ScTe2Cl PBE-GGA optimized geometry
# Total energy: -4.272 eV per atom
# N(E_F): 3.33 states/eV/f.u.
# Crystal system: orthorhombic
data_ScTe2Cl
_chemical_formula_sum 'Sc2 Te4 Cl2'
_symmetry_space_group_name_H-M 'I m m m'
_symmetry_Int_Tables_number 71
_symmetry_space_group_name_Hall '-I 2 2'
_cell_length_a 3.653
_cell_length_b 5.100
_cell_length_c 11.340
_cell_angle_alpha 90.00
_cell_angle_beta 90.00
_cell_angle_gamma 90.00
loop_
_atom_site_label
_atom_site_type_symbol
_atom_site_fract_x
_atom_site_fract_y
_atom_site_fract_z
Sc1 Sc 0.000 0.000 0.000
Te1 Te 0.000 0.500 0.290
Cl1 Cl 0.000 0.000 0.500

=====

Record 2
# Sc2TeCl PBE-GGA optimized geometry
# Total energy: -5.382 eV per atom
# N(E_F): 4.16 states/eV/f.u.
# Crystal system: trigonal
data_Sc2TeCl
_chemical_formula_sum 'Sc6 Te3 Cl3'
_symmetry_space_group_name_H-M 'R -3 m'
_symmetry_Int_Tables_number 166
_symmetry_space_group_name_Hall '-R 3 2"'
_cell_length_a 3.9580
_cell_length_b 3.9580
_cell_length_c 24.9713
_cell_angle_alpha 90.00
_cell_angle_beta 90.00
_cell_angle_gamma 120.00
loop_
_atom_site_label
_atom_site_type_symbol
_atom_site_fract_x
_atom_site_fract_y
_atom_site_fract_z
Sc1 Sc 0.0000 0.0000 0.0979
Te1 Te 0.0000 0.0000 0.5000
Cl1 Cl 0.0000 0.0000 0.0000

=====

Record 3
# Sc2TeCl PBE-GGA optimized geometry
# Total energy: -5.554 eV per atom
# N(E_F): 1.18 states/eV/f.u.
# Crystal system: tetragonal
data_Sc2TeCl
_chemical_formula_sum 'Sc2 Te1 Cl1'
_symmetry_space_group_name_H-M 'P 4 m m'
_symmetry_Int_Tables_number 99
_cell_length_a 3.752
_cell_length_b 3.752
_cell_length_c 6.442
_cell_angle_alpha 90.00
_cell_angle_beta 90.00
_cell_angle_gamma 90.00
loop_
_symmetry_equiv_pos_as_xyz
'x,y,z'
'-y,x,z'
'-x,-y,z'
'y,-x,z'
'-x,y,z'
'y,x,z'
'x,-y,z'
'-y,-x,z'
loop_
_atom_site_label
_atom_site_type_symbol
_atom_site_fract_x
_atom_site_fract_y
_atom_site_fract_z
Sc1 Sc 0.000 0.000 0.000
Sc2 Sc 0.500 0.500 0.297
Te1 Te 0.000 0.000 0.474
Cl1 Cl 0.500 0.500 0.889

=====

Record 4
# ScTiTeCl2 PBE-GGA optimized geometry
# Total energy: -3.559 eV per atom
# N(E_F): 15.91 states/eV/f.u.
# Crystal system: tetragonal
data_ScTiTeCl2
_chemical_formula_sum 'Sc1 Ti1 Te1 Cl2'
_symmetry_space_group_name_H-M 'P 4/m m m'
_symmetry_Int_Tables_number 123
_symmetry_space_group_name_Hall '-P 4 2'
_cell_length_a 5.450
_cell_length_b 5.450
_cell_length_c 5.605
_cell_angle_alpha 90.00
_cell_angle_beta 90.00
_cell_angle_gamma 90.00
loop_
_atom_site_label
_atom_site_type_symbol
_atom_site_fract_x
_atom_site_fract_y
_atom_site_fract_z
Sc1 Sc 0.000 0.000 0.000
Ti1 Ti 0.500 0.500 0.000
Te1 Te 0.000 0.000 0.500
Cl1 Cl 0.000 0.500 0.500

=====

Record 5
# ScTlTeCl2 PBE-GGA optimized geometry
# Total energy: -4.446 eV per atom
# Crystal system: tetragonal
data_ScTlTeCl2
_chemical_formula_sum 'Sc1 Tl1 Te1 Cl2'
_symmetry_space_group_name_H-M 'P 4/m m m'
_symmetry_Int_Tables_number 123
_symmetry_space_group_name_Hall '-P 4 2'
_cell_length_a 5.063
_cell_length_b 5.063
_cell_length_c 5.759
_cell_angle_alpha 90.00
_cell_angle_beta 90.00
_cell_angle_gamma 90.00
loop_
_atom_site_label
_atom_site_type_symbol
_atom_site_fract_x
_atom_site_fract_y
_atom_site_fract_z
Sc1 Sc 0.000 0.000 0.000
Tl1 Tl 0.500 0.500 0.500
Te1 Te 0.000 0.000 0.500
Cl1 Cl 0.000 0.500 0.000

=====

Record 6
# ScTlTe2Cl PBE-GGA optimized geometry
# Total energy: -4.254 eV per atom
# N(E_F): 5.19 states/eV/f.u.
# Crystal system: tetragonal
data_ScTlTe2Cl
_chemical_formula_sum 'Sc1 Tl1 Te2 Cl1'
_symmetry_space_group_name_H-M 'P 4/m m m'
_symmetry_Int_Tables_number 123
_symmetry_space_group_name_Hall '-P 4 2'
_cell_length_a 5.670
_cell_length_b 5.670
_cell_length_c 5.037
_cell_angle_alpha 90.00
_cell_angle_beta 90.00
_cell_angle_gamma 90.00
loop_
_atom_site_label
_atom_site_type_symbol
_atom_site_fract_x
_atom_site_fract_y
_atom_site_fract_z
Sc1 Sc 0.000 0.000 0.000
Tl1 Tl 0.500 0.500 0.500
Te1 Te 0.000 0.500 0.000
Cl1 Cl 0.000 0.000 0.500

=====

Record 7
# ScZnTeCl2 PBE-GGA optimized geometry
# Total energy: -3.481 eV per atom
# N(E_F): 7.74 states/eV/f.u.
# Crystal system: tetragonal
data_ScZnTeCl2
_chemical_formula_sum 'Sc1 Zn1 Te1 Cl2'
_symmetry_space_group_name_H-M 'P 4/m m m'
_symmetry_Int_Tables_number 123
_symmetry_space_group_name_Hall '-P 4 2'
_cell_length_a 4.658
_cell_length_b 4.658
_cell_length_c 5.939
_cell_angle_alpha 90.00
_cell_angle_beta 90.00
_cell_angle_gamma 90.00
loop_
_atom_site_label
_atom_site_type_symbol
_atom_site_fract_x
_atom_site_fract_y
_atom_site_fract_z
Sc1 Sc 0.000 0.000 0.000
Zn1 Zn 0.500 0.500 0.500
Te1 Te 0.500 0.500 0.000
Cl1 Cl 0.000 0.500 0.500

=====

Record 8
# ThSc2Cl PBE-GGA optimized geometry
# Total energy: -6.085 eV per atom
# N(E_F): 5.13 states/eV/f.u.
# Crystal system: trigonal
data_ThSc2Cl
_chemical_formula_sum 'Th3 Sc6 Cl3'
_symmetry_space_group_name_H-M 'R -3 m'
_symmetry_Int_Tables_number 166
_symmetry_space_group_name_Hall '-R 3 2"'
_cell_length_a 3.4761
_cell_length_b 3.4761
_cell_length_c 27.7372
_cell_angle_alpha 90.00
_cell_angle_beta 90.00
_cell_angle_gamma 120.00
loop_
_atom_site_label
_atom_site_type_symbol
_atom_site_fract_x
_atom_site_fract_y
_atom_site_fract_z
Th1 Th 0.0000 0.0000 0.0000
Sc1 Sc 0.0000 0.0000 0.2388
Cl1 Cl 0.0000 0.0000 0.5000

=====

- Which of these has the lowest total energy?
  ThSc2Cl

=====

- total energy of number 5 (ScTlTeCl2)?
  -4.446 eV per atom

=====

Copy entry 5 word for word.
# ScTlTeCl2 PBE-GGA optimized geometry
# Total energy: -4.446 eV per atom
# Crystal system: tetragonal
data_ScTlTeCl2
_chemical_formula_sum 'Sc1 Tl1 Te1 Cl2'
_symmetry_space_group_name_H-M 'P 4/m m m'
_symmetry_Int_Tables_number 123
_symmetry_space_group_name_Hall '-P 4 2'
_cell_length_a 5.063
_cell_length_b 5.063
_cell_length_c 5.759
_cell_angle_alpha 90.00
_cell_angle_beta 90.00
_cell_angle_gamma 90.00
loop_
_atom_site_label
_atom_site_type_symbol
_atom_site_fract_x
_atom_site_fract_y
_atom_site_fract_z
Sc1 Sc 0.000 0.000 0.000
Tl1 Tl 0.500 0.500 0.500
Te1 Te 0.000 0.000 0.500
Cl1 Cl 0.000 0.500 0.000

=====

Please write out number 2 again, unchanged.
# Sc2TeCl PBE-GGA optimized geometry
# Total energy: -5.382 eV per atom
# N(E_F): 4.16 states/eV/f.u.
# Crystal system: trigonal
data_Sc2TeCl
_chemical_formula_sum 'Sc6 Te3 Cl3'
_symmetry_space_group_name_H-M 'R -3 m'
_symmetry_Int_Tables_number 166
_symmetry_space_group_name_Hall '-R 3 2"'
_cell_length_a 3.9580
_cell_length_b 3.9580
_cell_length_c 24.9713
_cell_angle_alpha 90.00
_cell_angle_beta 90.00
_cell_angle_gamma 120.00
loop_
_atom_site_label
_atom_site_type_symbol
_atom_site_fract_x
_atom_site_fract_y
_atom_site_fract_z
Sc1 Sc 0.0000 0.0000 0.0979
Te1 Te 0.0000 0.0000 0.5000
Cl1 Cl 0.0000 0.0000 0.0000